(1)
First-principles (PBE) data for a geometry-optimized TlReSi2 structure, as listed in Alexandria.

Unit cell a=3.0386 b=3.1045 c=7.9839 alpha=90.00 beta=90.26 gamma=90.00
Last column: nearest neighbours and their distance in Å.
Space group P2/m (No. 10)
One atom of each set of equivalent atoms:
Tl: 0.0000 0.0000 0.0000 (multiplicity 1)  4 Tl 3.04-3.10, 4 Si 3.06
Re: 0.5000 0.0000 0.5000 (multiplicity 1)  8 Si 2.56
Si: 0.0022 0.5000 0.6695 (multiplicity 2)  4 Re 2.56, 1 Si 2.71

Values from the calculation:
The excess energy over the best structure of this formula in the dataset comes out at 0 meV per atom. The formation energy without anion corrections is 0.170 eV per atom. The total magnetization comes out at 0.00 μB/cell.

---

(2)
First-principles (PBE) data for a geometry-optimized LiNi2P structure, as listed in Alexandria.

Unit cell a=7.6517 b=2.6439 c=4.4622 alpha=90.00 beta=100.26 gamma=90.00
Last column: nearest neighbours and their distance in Å.
Space group C2/m (No. 12)
One atom of each set of equivalent atoms:
Li: 0.0000 0.0000 0.0000 (multiplicity 2)  6 Ni 2.33-2.53, 4 P 2.59
Ni: 0.2353 0.0000 0.7312 (multiplicity 4)  3 P 2.32-2.43, 3 Li 2.33-2.53, 2 Ni 2.49
P: 0.0000 0.5000 0.5000 (multiplicity 2)  6 Ni 2.32-2.43, 4 Li 2.59

Values from the calculation:
The total magnetization comes out at 0.00 μB/cell. For the formation energy, the calculation gives -278 meV/atom.

---

(3)
First-principles (PBE) data for a geometry-optimized Li4Zn2Ga5 structure, as listed in Alexandria.

Unit cell a=8.3699 b=2.8772 c=8.5305 alpha=90.00 beta=117.64 gamma=90.00
Last column: nearest neighbours and their distance in Å.
Space group P2/m (No. 10)
One atom of each set of equivalent atoms:
Li: 0.2343 0.0000 0.2284 (multiplicity 2)  2 Zn 2.74, 8 Ga 2.76-2.81, 2 Li 2.88
Li: 0.2493 0.0000 0.7444 (multiplicity 2)  2 Zn 2.74, 4 Ga 2.76, 2 Li 2.88
Zn: 0.4362 0.5000 0.1113 (multiplicity 2)  3 Zn 2.57-2.88, 1 Ga 2.58, 4 Li 2.74
Ga: 0.0911 0.5000 0.9117 (multiplicity 2)  1 Zn 2.58, 4 Ga 2.59-2.88, 6 Li 2.76-2.81
Ga: 0.1184 0.5000 0.4332 (multiplicity 2)  4 Ga 2.63-2.88, 4 Li 2.76
Ga: 0.5000 0.5000 0.5000 (multiplicity 1)  4 Li 2.76, 4 Ga 2.88-2.97

Values from the calculation:
The excess energy over the best structure of this formula in the dataset comes out at 34 meV per atom. The total magnetization comes out at 0.00 μB/cell. For the formation energy, the calculation gives -185 meV/atom.